Model A:
The following is a DFT calculation (PBE-GGA) of an optimized crystal structure of Tl2Hg7.

Cell: 6.2058 6.2058 47.7982 Å, 90.00 90.00 120.00°
Space group R-3m (No. 166, hexagonal axes)
One atom of each set of equivalent atoms:
Tl (0.0000, 0.0000, 0.0417) [6 per cell]
Tl (0.0000, 0.0000, 0.1537) [6 per cell]
Hg (0.0000, 0.0000, 0.2767) [6 per cell]
Hg (0.0000, 0.0000, 0.3908) [6 per cell]
Hg (0.0000, 0.0000, 0.5000) [3 per cell]
Hg (0.0000, 0.5000, 0.0000) [9 per cell]
Hg (0.0047, 0.5024, 0.8869) [18 per cell]



Model B:
The following is a DFT calculation (PBE-GGA) of an optimized crystal structure of Tl2Hg7.

Cell: 6.6478 6.6478 6.8142 Å, 90.00 90.00 120.00°
Space group P-31m (No. 162)
One atom of each set of equivalent atoms:
Tl (0.3333, 0.6667, 0.0000) [2 per cell]
Hg (0.0000, 0.0000, 0.0000) [1 per cell]
Hg (0.0000, 0.3279, 0.6588) [6 per cell]



Most stable pick: model B. Distance to second place: 46 meV/atom.